Entry 1:
# ZrSiNO (PBE, optimized geometry)
data_ZrSiNO
_chemical_formula_sum 'Zr2 Si2 N2 O2'
_cell_length_a 3.308
_cell_length_b 3.308
_cell_length_c 8.569
_cell_angle_alpha 90.00
_cell_angle_beta 90.00
_cell_angle_gamma 90.00
_space_group_name_H-M_alt 'P 4/n m m'
_space_group_IT_number 129
loop_
_space_group_symop_operation_xyz
'x,y,z'
'-x,-y,-z'
'-y+1/2,x,z'
'y+1/2,-x,-z'
'-x+1/2,-y+1/2,z'
'x+1/2,y+1/2,-z'
'y,-x+1/2,z'
'-y,x+1/2,-z'
'x+1/2,-y,-z'
'-x+1/2,y,z'
'-y,-x,-z'
'y,x,z'
'-x,y+1/2,-z'
'x,-y+1/2,z'
'y+1/2,x+1/2,-z'
'-y+1/2,-x+1/2,z'
loop_
_atom_site_label
_atom_site_fract_x
_atom_site_fract_y
_atom_site_fract_z
Zr1 0.250 0.250 0.158
Si1 0.250 0.750 0.500
N1 0.250 0.250 0.739
O1 0.250 0.750 0.000
# **Relative energy among the computed polymorphs**: 50.4 kJ/mol of atoms

=====

Entry 2:
# ZrSiNO (PBE, optimized geometry)
data_ZrSiNO
_chemical_formula_sum 'Zr2 Si2 N2 O2'
_cell_length_a 2.946
_cell_length_b 5.947
_cell_length_c 5.819
_cell_angle_alpha 90.00
_cell_angle_beta 90.00
_cell_angle_gamma 90.00
_space_group_name_H-M_alt 'P m c 21'
_space_group_IT_number 26
_space_group_name_Hall 'P 2c -2'
loop_
_atom_site_label
_atom_site_fract_x
_atom_site_fract_y
_atom_site_fract_z
Zr1 0.000 0.196 0.000
Si1 0.500 0.250 0.533
N1 0.000 0.166 0.378
O1 0.500 0.468 0.026
# **Relative energy among the computed polymorphs**: 8.0 kJ/mol of atoms

=====

Entry 3:
# Sm4N3O (PBE, optimized geometry)
data_Sm4N3O
_chemical_formula_sum 'Sm4 N3 O1'
_cell_length_a 5.018
_cell_length_b 5.018
_cell_length_c 5.018
_cell_angle_alpha 90.00
_cell_angle_beta 90.00
_cell_angle_gamma 90.00
_space_group_name_H-M_alt 'P m -3 m'
_space_group_IT_number 221
_space_group_name_Hall '-P 4 2 3'
loop_
_atom_site_label
_atom_site_fract_x
_atom_site_fract_y
_atom_site_fract_z
Sm1 0.000 0.000 0.000
Sm2 0.000 0.500 0.500
N1 0.000 0.000 0.500
O1 0.500 0.500 0.500
# **Total energy**: -7.97 eV per atom

=====

Entry 4:
# SrSmNO (PBE, optimized geometry)
data_SrSmNO
_chemical_formula_sum 'Sr4 Sm4 N4 O4'
_cell_length_a 7.208
_cell_length_b 8.444
_cell_length_c 5.115
_cell_angle_alpha 90.00
_cell_angle_beta 90.00
_cell_angle_gamma 90.00
_space_group_name_H-M_alt 'P c a 21'
_space_group_IT_number 29
_space_group_name_Hall 'P 2c -2ac'
loop_
_atom_site_label
_atom_site_fract_x
_atom_site_fract_y
_atom_site_fract_z
Sr1 0.084 0.128 0.000
Sm1 0.083 0.621 0.999
N1 0.091 0.613 0.507
O1 0.072 0.135 0.502
# **Relative energy among the computed polymorphs**: 0.0 kJ/mol of atoms

=====

Entry 5:
# SrSmNO (PBE, optimized geometry)
data_SrSmNO
_chemical_formula_sum 'Sr2 Sm2 N2 O2'
_cell_length_a 4.255
_cell_length_b 7.178
_cell_length_c 5.104
_cell_angle_alpha 90.00
_cell_angle_beta 90.00
_cell_angle_gamma 90.00
_space_group_name_H-M_alt 'P m c 21'
_space_group_IT_number 26
_space_group_name_Hall 'P 2c -2'
loop_
_atom_site_label
_atom_site_fract_x
_atom_site_fract_y
_atom_site_fract_z
Sr1 0.000 0.169 0.000
Sm1 0.500 0.337 0.501
N1 0.500 0.349 0.992
O1 0.000 0.188 0.499
# **Relative energy among the computed polymorphs**: 5.0 kJ/mol of atoms

=====

Entry 6:
# SrSmNO (PBE, optimized geometry)
data_SrSmNO
_chemical_formula_sum 'Sr4 Sm4 N4 O4'
_cell_length_a 6.898
_cell_length_b 8.110
_cell_length_c 5.956
_cell_angle_alpha 90.00
_cell_angle_beta 90.00
_cell_angle_gamma 90.00
_space_group_name_H-M_alt 'P c a 21'
_space_group_IT_number 29
_space_group_name_Hall 'P 2c -2ac'
loop_
_atom_site_label
_atom_site_fract_x
_atom_site_fract_y
_atom_site_fract_z
Sr1 0.086 0.124 0.000
Sm1 0.086 0.618 0.983
N1 0.056 0.157 0.573
O1 0.095 0.607 0.599
# **Relative energy among the computed polymorphs**: 16.8 kJ/mol of atoms

=====

Entry 7:
# SrSmNO (PBE, optimized geometry)
data_SrSmNO
_chemical_formula_sum 'Sr2 Sm2 N2 O2'
_cell_length_a 5.062
_cell_length_b 5.062
_cell_length_c 5.163
_cell_angle_alpha 90.00
_cell_angle_beta 90.00
_cell_angle_gamma 90.00
_space_group_name_H-M_alt 'P 4/n m m'
_space_group_IT_number 129
loop_
_space_group_symop_operation_xyz
'x,y,z'
'-x,-y,-z'
'-y+1/2,x,z'
'y+1/2,-x,-z'
'-x+1/2,-y+1/2,z'
'x+1/2,y+1/2,-z'
'y,-x+1/2,z'
'-y,x+1/2,-z'
'x+1/2,-y,-z'
'-x+1/2,y,z'
'-y,-x,-z'
'y,x,z'
'-x,y+1/2,-z'
'x,-y+1/2,z'
'y+1/2,x+1/2,-z'
'-y+1/2,-x+1/2,z'
loop_
_atom_site_label
_atom_site_fract_x
_atom_site_fract_y
_atom_site_fract_z
Sr1 0.250 0.250 0.000
Sm1 0.250 0.750 0.500
N1 0.250 0.250 0.499
O1 0.250 0.750 0.000
# **Relative energy among the computed polymorphs**: 1.9 kJ/mol of atoms

=====

Entry 8:
# SrSmNO (PBE, optimized geometry)
data_SrSmNO
_chemical_formula_sum 'Sr2 Sm2 N2 O2'
_cell_length_a 3.925
_cell_length_b 7.108
_cell_length_c 5.912
_cell_angle_alpha 90.00
_cell_angle_beta 90.00
_cell_angle_gamma 90.00
_space_group_name_H-M_alt 'P m c 21'
_space_group_IT_number 26
_space_group_name_Hall 'P 2c -2'
loop_
_atom_site_label
_atom_site_fract_x
_atom_site_fract_y
_atom_site_fract_z
Sr1 0.000 0.161 0.000
Sm1 0.500 0.340 0.514
N1 0.000 0.188 0.429
O1 0.500 0.353 0.898
# **Relative energy among the computed polymorphs**: 7.5 kJ/mol of atoms

=====

Entry 9:
# SrSmNO (PBE, optimized geometry)
data_SrSmNO
_chemical_formula_sum 'Sr2 Sm2 N2 O2'
_cell_length_a 4.193
_cell_length_b 4.193
_cell_length_c 8.513
_cell_angle_alpha 90.00
_cell_angle_beta 90.00
_cell_angle_gamma 90.00
_space_group_name_H-M_alt 'P 4/n m m'
_space_group_IT_number 129
loop_
_space_group_symop_operation_xyz
'x,y,z'
'-x,-y,-z'
'-y+1/2,x,z'
'y+1/2,-x,-z'
'-x+1/2,-y+1/2,z'
'x+1/2,y+1/2,-z'
'y,-x+1/2,z'
'-y,x+1/2,-z'
'x+1/2,-y,-z'
'-x+1/2,y,z'
'-y,-x,-z'
'y,x,z'
'-x,y+1/2,-z'
'x,-y+1/2,z'
'y+1/2,x+1/2,-z'
'-y+1/2,-x+1/2,z'
loop_
_atom_site_label
_atom_site_fract_x
_atom_site_fract_y
_atom_site_fract_z
Sr1 0.250 0.750 0.000
Sm1 0.250 0.250 0.383
N1 0.250 0.250 0.838
O1 0.250 0.750 0.500
# **Relative energy among the computed polymorphs**: 67.3 kJ/mol of atoms

=====

Entry 10:
# SmTaNO (PBE, optimized geometry)
data_SmTaNO
_chemical_formula_sum 'Sm2 Ta2 N2 O2'
_cell_length_a 4.114
_cell_length_b 4.114
_cell_length_c 8.072
_cell_angle_alpha 90.00
_cell_angle_beta 90.00
_cell_angle_gamma 90.00
_space_group_name_H-M_alt 'P 4/n m m'
_space_group_IT_number 129
loop_
_space_group_symop_operation_xyz
'x,y,z'
'-x,-y,-z'
'-y+1/2,x,z'
'y+1/2,-x,-z'
'-x+1/2,-y+1/2,z'
'x+1/2,y+1/2,-z'
'y,-x+1/2,z'
'-y,x+1/2,-z'
'x+1/2,-y,-z'
'-x+1/2,y,z'
'-y,-x,-z'
'y,x,z'
'-x,y+1/2,-z'
'x,-y+1/2,z'
'y+1/2,x+1/2,-z'
'-y+1/2,-x+1/2,z'
loop_
_atom_site_label
_atom_site_fract_x
_atom_site_fract_y
_atom_site_fract_z
Sm1 0.250 0.250 0.134
Ta1 0.250 0.750 0.500
N1 0.250 0.250 0.451
O1 0.250 0.750 0.000
# **Relative energy among the computed polymorphs**: 0.0 kJ/mol of atoms

=====

Entry 11:
# SmTaNO (PBE, optimized geometry)
data_SmTaNO
_chemical_formula_sum 'Sm2 Ta2 N2 O2'
_cell_length_a 4.443
_cell_length_b 4.443
_cell_length_c 5.936
_cell_angle_alpha 90.00
_cell_angle_beta 90.00
_cell_angle_gamma 90.00
_space_group_name_H-M_alt 'P 4/n m m'
_space_group_IT_number 129
loop_
_space_group_symop_operation_xyz
'x,y,z'
'-x,-y,-z'
'-y+1/2,x,z'
'y+1/2,-x,-z'
'-x+1/2,-y+1/2,z'
'x+1/2,y+1/2,-z'
'y,-x+1/2,z'
'-y,x+1/2,-z'
'x+1/2,-y,-z'
'-x+1/2,y,z'
'-y,-x,-z'
'y,x,z'
'-x,y+1/2,-z'
'x,-y+1/2,z'
'y+1/2,x+1/2,-z'
'-y+1/2,-x+1/2,z'
loop_
_atom_site_label
_atom_site_fract_x
_atom_site_fract_y
_atom_site_fract_z
Sm1 0.250 0.750 0.000
Ta1 0.250 0.250 0.477
N1 0.250 0.250 0.155
O1 0.250 0.750 0.500
# **Relative energy among the computed polymorphs**: 60.9 kJ/mol of atoms